Run one
## Tc2PbBr (GGA-PBEsol)

Data for a geometry-optimized Tc2PbBr structure.

Cell lengths 3.0181, 4.5560, 5.2583 Å; angles 90.00, 90.00, 90.00 degrees
With the nearest neighbours (Å) after each atom.
Sites, in units of the cell vectors:
Tc1 0.0000 0.0000 0.0000  4 Br 2.73, 6 Tc 3.02-3.03
Tc2 0.5000 0.0000 0.5000  4 Pb 2.73, 6 Tc 3.02-3.03
Pb1 0.0000 0.5000 0.5000  4 Tc 2.73, 2 Pb 3.02, 4 Br 3.03
Br1 0.5000 0.5000 0.0000  4 Tc 2.73, 2 Br 3.02, 4 Pb 3.03

Properties
D(E_F) = 5.0 states/eV/cell



Run two
## Tc2PbBr (GGA-PBEsol)

Data for a geometry-optimized Tc2PbBr structure.

Cell lengths 3.0131, 3.0131, 8.6834 Å; angles 90.00, 90.00, 90.00 degrees
With the nearest neighbours (Å) after each atom.
Sites, in units of the cell vectors:
Tc1 0.0000 0.0000 0.0000  4 Tc 2.57
Tc2 0.5000 0.5000 0.1657  4 Tc 2.57, 4 Br 2.81
Pb1 0.5000 0.5000 0.7457  4 Pb 3.01, 4 Tc 3.07
Br1 0.0000 0.0000 0.3773  4 Tc 2.81, 4 Br 3.01

Properties
D(E_F) = 3.7 states/eV/cell



Run three
## Tc2PbBr (GGA-PBEsol)

Data for a geometry-optimized Tc2PbBr structure.

Cell lengths 6.6324, 6.6324, 6.6324 Å; angles 90.00, 90.00, 90.00 degrees
With the nearest neighbours (Å) after each atom.
Sites, in units of the cell vectors:
Tc1 0.0000 0.0000 0.0000  4 Tc 2.87, 4 Br 2.87
Tc2 0.0000 0.5000 0.5000  4 Tc 2.87, 4 Br 2.87
Tc3 0.2500 0.2500 0.2500  4 Pb 2.87, 4 Tc 2.87
Tc4 0.2500 0.7500 0.7500  4 Pb 2.87, 4 Tc 2.87
Tc5 0.5000 0.0000 0.5000  4 Tc 2.87, 4 Br 2.87
Tc6 0.5000 0.5000 0.0000  4 Tc 2.87, 4 Br 2.87
Tc7 0.7500 0.2500 0.7500  4 Pb 2.87, 4 Tc 2.87
Tc8 0.7500 0.7500 0.2500  4 Pb 2.87, 4 Tc 2.87
Pb1 0.0000 0.0000 0.5000  4 Br 2.87, 4 Tc 2.87
Pb2 0.0000 0.5000 0.0000  4 Br 2.87, 4 Tc 2.87
Pb3 0.5000 0.0000 0.0000  4 Br 2.87, 4 Tc 2.87
Pb4 0.5000 0.5000 0.5000  4 Br 2.87, 4 Tc 2.87
Br1 0.2500 0.2500 0.7500  4 Pb 2.87, 4 Tc 2.87
Br2 0.2500 0.7500 0.2500  4 Pb 2.87, 4 Tc 2.87
Br3 0.7500 0.2500 0.2500  4 Pb 2.87, 4 Tc 2.87
Br4 0.7500 0.7500 0.7500  4 Pb 2.87, 4 Tc 2.87

Properties
D(E_F) = 22.6 states/eV/cell



Run four
## Tc2PbBr (GGA-PBEsol)

Data for a geometry-optimized Tc2PbBr structure.

Cell lengths 3.0755, 5.4539, 8.6612 Å; angles 90.00, 90.00, 90.00 degrees
With the nearest neighbours (Å) after each atom.
Sites, in units of the cell vectors:
Tc1 0.0000 0.0000 0.2405  2 Br 2.59, 2 Pb 2.72
Tc2 0.0000 0.0000 0.7595  2 Br 2.59, 2 Pb 2.72
Tc3 0.5000 0.5000 0.2405  2 Br 2.59, 2 Pb 2.72
Tc4 0.5000 0.5000 0.7595  2 Br 2.59, 2 Pb 2.72
Pb1 0.0000 0.5000 0.5000  4 Tc 2.72
Pb2 0.5000 0.0000 0.5000  4 Tc 2.72
Br1 0.0000 0.5000 0.0000  4 Tc 2.59
Br2 0.5000 0.0000 0.0000  4 Tc 2.59

Properties
D(E_F) = 12.1 states/eV/cell



Short version: run three is the least stable of them.



Run one
## TePbBr2 (GGA-PBEsol)

Data for a geometry-optimized TePbBr2 structure.

Cell lengths 3.7944, 3.7944, 7.9825 Å; angles 90.00, 90.00, 90.00 degrees
With the nearest neighbours (Å) after each atom.
Sites, in units of the cell vectors:
Te1 0.0000 0.0000 0.0000  4 Br 3.15, 4 Pb 3.41
Pb1 0.5000 0.5000 0.7372  4 Br 3.13, 4 Te 3.41
Br1 0.0000 0.0000 0.5361  4 Pb 3.13
Br2 0.5000 0.5000 0.2079  4 Te 3.15

Properties
D(E_F) = 2.1 states/eV/cell



Run two
## TePbBr2 (GGA-PBEsol)

Data for a geometry-optimized TePbBr2 structure.

Cell lengths 7.5900, 7.5900, 7.5900 Å; angles 90.00, 90.00, 90.00 degrees
With the nearest neighbours (Å) after each atom.
Sites, in units of the cell vectors:
Te1 0.0000 0.0000 0.0000  8 Br 3.29
Te2 0.0000 0.5000 0.5000  8 Br 3.29
Te3 0.5000 0.0000 0.5000  8 Br 3.29
Te4 0.5000 0.5000 0.0000  8 Br 3.29
Pb1 0.0000 0.0000 0.5000  8 Br 3.29
Pb2 0.0000 0.5000 0.0000  8 Br 3.29
Pb3 0.5000 0.0000 0.0000  8 Br 3.29
Pb4 0.5000 0.5000 0.5000  8 Br 3.29
Br1 0.2500 0.2500 0.2500  4 Pb 3.29, 4 Te 3.29
Br2 0.2500 0.2500 0.7500  4 Pb 3.29, 4 Te 3.29
Br3 0.2500 0.7500 0.2500  4 Pb 3.29, 4 Te 3.29
Br4 0.2500 0.7500 0.7500  4 Pb 3.29, 4 Te 3.29
Br5 0.7500 0.2500 0.2500  4 Pb 3.29, 4 Te 3.29
Br6 0.7500 0.2500 0.7500  4 Pb 3.29, 4 Te 3.29
Br7 0.7500 0.7500 0.2500  4 Pb 3.29, 4 Te 3.29
Br8 0.7500 0.7500 0.7500  4 Pb 3.29, 4 Te 3.29

Properties
D(E_F) = 20.7 states/eV/cell



Short version: run two is the least stable of them.



Run one
## TePbBr2 (GGA-PBEsol)

Data for a geometry-optimized TePbBr2 structure.

Cell lengths 7.5204, 7.5204, 7.5204 Å; angles 90.00, 90.00, 90.00 degrees
With the nearest neighbours (Å) after each atom.
Sites, in units of the cell vectors:
Te1 0.0000 0.0000 0.0000  4 Br 3.26, 4 Pb 3.26
Te2 0.0000 0.5000 0.5000  4 Pb 3.26, 4 Br 3.26
Te3 0.5000 0.0000 0.5000  4 Pb 3.26, 4 Br 3.26
Te4 0.5000 0.5000 0.0000  4 Pb 3.26, 4 Br 3.26
Pb1 0.2500 0.2500 0.7500  4 Br 3.26, 4 Te 3.26
Pb2 0.2500 0.7500 0.2500  4 Br 3.26, 4 Te 3.26
Pb3 0.7500 0.2500 0.2500  4 Br 3.26, 4 Te 3.26
Pb4 0.7500 0.7500 0.7500  4 Br 3.26, 4 Te 3.26
Br1 0.0000 0.0000 0.5000  4 Pb 3.26, 4 Br 3.26
Br2 0.0000 0.5000 0.0000  4 Pb 3.26, 4 Br 3.26
Br3 0.2500 0.2500 0.2500  4 Br 3.26, 4 Te 3.26
Br4 0.2500 0.7500 0.7500  4 Br 3.26, 4 Te 3.26
Br5 0.5000 0.0000 0.0000  4 Pb 3.26, 4 Br 3.26
Br6 0.5000 0.5000 0.5000  4 Pb 3.26, 4 Br 3.26
Br7 0.7500 0.2500 0.7500  4 Br 3.26, 4 Te 3.26
Br8 0.7500 0.7500 0.2500  4 Br 3.26, 4 Te 3.26

Properties
D(E_F) = 16.0 states/eV/cell



Run two
## TePbBr2 (GGA-PBEsol)

Data for a geometry-optimized TePbBr2 structure.

Cell lengths 4.8648, 4.8648, 4.5624 Å; angles 90.00, 90.00, 90.00 degrees
With the nearest neighbours (Å) after each atom.
Sites, in units of the cell vectors:
Te1 0.0000 0.0000 0.0000  8 Br 3.33, 4 Pb 3.44
Pb1 0.5000 0.5000 0.0000  8 Br 3.33, 4 Te 3.44
Br1 0.0000 0.5000 0.5000  4 Pb 3.33, 4 Te 3.33, 4 Br 3.44
Br2 0.5000 0.0000 0.5000  4 Pb 3.33, 4 Te 3.33, 4 Br 3.44

Properties
D(E_F) = 1.8 states/eV/cell



Short version: run two is the least stable of them.



Run one
## Te2PbBr (GGA-PBEsol)

Data for a geometry-optimized Te2PbBr structure.

Cell lengths 4.0265, 4.4582, 6.8894 Å; angles 90.00, 90.00, 90.00 degrees
With the nearest neighbours (Å) after each atom.
Sites, in units of the cell vectors:
Te1 0.0000 0.0000 0.2023  1 Te 2.79
Te2 0.0000 0.0000 0.7977  1 Te 2.79
Pb1 0.5000 0.5000 0.0000  8 Te 3.31, 2 Br 3.44
Br1 0.5000 0.5000 0.5000  2 Pb 3.44, 8 Te 3.64

Properties
D(E_F) = 3.3 states/eV/cell



Run two
## Te2PbBr (GGA-PBEsol)

Data for a geometry-optimized Te2PbBr structure.

Cell lengths 3.3713, 3.3713, 33.6910 Å; angles 90.00, 90.00, 120.00 degrees
With the nearest neighbours (Å) after each atom.
Sites, in units of the cell vectors:
Te1 0.0000 0.0000 0.0917  1 Pb 3.09, 3 Br 3.19, 6 Te 3.37
Te2 0.0000 0.0000 0.9083  1 Pb 3.09, 3 Br 3.19, 6 Te 3.37
Te3 0.3333 0.6667 0.5750  1 Pb 3.09, 3 Br 3.19, 6 Te 3.37
Te4 0.3333 0.6667 0.7584  1 Pb 3.09, 3 Br 3.19, 6 Te 3.37
Te5 0.6667 0.3333 0.2416  1 Pb 3.09, 3 Br 3.19, 6 Te 3.37
Te6 0.6667 0.3333 0.4250  1 Pb 3.09, 3 Br 3.19, 6 Te 3.37
Pb1 0.0000 0.0000 0.0000  2 Te 3.09, 6 Pb 3.37
Pb2 0.3333 0.6667 0.6667  2 Te 3.09, 6 Pb 3.37
Pb3 0.6667 0.3333 0.3333  2 Te 3.09, 6 Pb 3.37
Br1 0.0000 0.0000 0.5000  6 Te 3.19, 6 Br 3.37
Br2 0.3333 0.6667 0.1667  6 Te 3.19, 6 Br 3.37
Br3 0.6667 0.3333 0.8333  6 Te 3.19, 6 Br 3.37

Properties
D(E_F) = 6.9 states/eV/cell



Short version: run two is the least stable of them.